Entry 1:
Y4ZnRu: optimized geometry, PBE.

Lattice parameters (Å, degrees): 6.0408 6.0408 6.0408 60.00 60.00 60.00
With the nearest neighbours (Å) after each atom.
Sites, in units of the cell vectors:
Y  0.8778  0.3741  0.3741  6 Y 3.00-3.04
Y  0.3741  0.3741  0.8778  6 Y 3.00-3.04
Y  0.3741  0.8778  0.3741  6 Y 3.00-3.04
Y  0.3741  0.3741  0.3741  6 Y 3.00-3.04
Zn  0.7500  0.7500  0.7500  12 Y 3.54, 4 Ru 3.70
Ru  0.0000  0.0000  0.0000  12 Y 3.54, 4 Zn 3.70

Summary:
For the total energy, the calculation gives -5.309 eV/atom. The density comes out at 5.6 g/cm³. The calculation puts the energy above the most stable polymorph in this dataset at 1041 meV per atom. The calculation puts the formation energy at 0.76 eV/atom.

=====

Entry 2:
MnCdHg2: optimized geometry, PBE.

Lattice parameters (Å, degrees): 3.1218 3.1218 8.5146 90.00 90.00 89.99
With the nearest neighbours (Å) after each atom.
Sites, in units of the cell vectors:
Cd  0.5000  0.5000  0.7213  4 Mn 2.90, 4 Cd 3.12, 4 Hg 3.21
Hg  0.0000  0.0000  0.9953  8 Hg 3.12-3.29, 4 Cd 3.21
Hg  0.5000  0.5000  0.2824  4 Mn 2.89, 4 Hg 3.12
Mn  0.0000  0.0000  0.5010  4 Hg 2.89, 4 Cd 2.90, 4 Mn 3.12

Summary:
For the total energy, the calculation gives -2.446 eV/atom. The density comes out at 11.4 g/cm³. The calculation puts the formation energy at 0.23 eV/atom.

=====

Entry 3:
SnP3Se: optimized geometry, PBE.

Lattice parameters (Å, degrees): 4.8087 4.8087 4.8087 90.00 90.00 90.00
With the nearest neighbours (Å) after each atom.
Sites, in units of the cell vectors:
P  0.0000  0.5000  0.0000  2 Se 2.40
P  0.0000  0.0000  0.5000  2 Se 2.40
P  0.5000  0.0000  0.0000  2 Se 2.40
Sn  0.5000  0.5000  0.5000  12 P 3.40
Se  0.0000  0.0000  0.0000  6 P 2.40

Summary:
For the total energy, the calculation gives -3.848 eV/atom. The density comes out at 4.3 g/cm³. The calculation puts the energy above the most stable polymorph in this dataset at 0 meV per atom. For the formation energy from raw total energies, the calculation gives 0.90 eV/atom.

=====

Entry 4:
CsZr3Os: optimized geometry, PBE.

Lattice parameters (Å, degrees): 5.2566 5.2566 5.2566 90.00 90.00 90.00
With the nearest neighbours (Å) after each atom.
Sites, in units of the cell vectors:
Cs  0.5000  0.5000  0.5000  12 Zr 3.72
Os  0.0000  0.0000  0.0000  6 Zr 2.63
Zr  0.0000  0.5000  0.0000  2 Os 2.63
Zr  0.0000  0.0000  0.5000  2 Os 2.63
Zr  0.5000  0.0000  0.0000  2 Os 2.63

Summary:
For the total energy, the calculation gives -6.918 eV/atom. The density comes out at 6.8 g/cm³. The calculation puts the formation energy at 0.63 eV/atom.

=====

Entry 5:
Pr2PuIr2: optimized geometry, PBE.

Lattice parameters (Å, degrees): 6.0632 6.0632 8.0109 79.34 79.34 59.41
With the nearest neighbours (Å) after each atom.
Sites, in units of the cell vectors:
Pr  0.4845  0.2171  0.1484  6 Ir 3.17-3.32, 2 Pu 3.53-3.55
Pr  0.7829  0.5155  0.3516  6 Ir 3.17-3.32, 2 Pu 3.53-3.55
Pr  0.5155  0.7829  0.8516  6 Ir 3.17-3.32, 2 Pu 3.53-3.55
Pr  0.2171  0.4845  0.6484  6 Ir 3.17-3.32, 2 Pu 3.53-3.55
Pu  0.1268  0.8732  0.2500  4 Ir 2.70-2.76
Pu  0.8732  0.1268  0.7500  4 Ir 2.70-2.76
Ir  0.7209  0.9993  0.5042  1 Ir 2.69, 2 Pu 2.70-2.76
Ir  0.0007  0.2791  0.9958  1 Ir 2.69, 2 Pu 2.70-2.76
Ir  0.2791  0.0007  0.4958  1 Ir 2.69, 2 Pu 2.70-2.76
Ir  0.9993  0.7209  0.0042  1 Ir 2.69, 2 Pu 2.70-2.76

Summary:
For the total energy, the calculation gives -8.862 eV/atom. The density comes out at 12.2 g/cm³. The calculation puts the energy above the most stable polymorph in this dataset at 0 meV per atom. The calculation puts the formation energy at -0.54 eV/atom.

=====

Entry 6:
SrLa3Pt8: optimized geometry, PBE.

Lattice parameters (Å, degrees): 5.5580 5.5580 9.6425 73.25 73.25 60.00
With the nearest neighbours (Å) after each atom.
Sites, in units of the cell vectors:
Sr  0.8743  0.8743  0.3772  12 Pt 3.25-3.28, 4 La 3.38-3.39
La  0.3758  0.3758  0.8726  12 Pt 3.24-3.26, 4 La 3.43-3.44
La  0.9984  0.9984  0.0048  12 Pt 3.23-3.28, 1 Sr 3.39, 3 La 3.43
La  0.5018  0.5018  0.4947  12 Pt 3.24-3.30, 3 Sr 3.38, 1 La 3.44
Pt  0.9398  0.4374  0.1855  6 Pt 2.77-2.79
Pt  0.4356  0.9373  0.6898  6 Pt 2.77-2.80
Pt  0.4374  0.4374  0.1855  6 Pt 2.77-2.79
Pt  0.9373  0.9373  0.6898  6 Pt 2.77-2.80
Pt  0.1876  0.1876  0.4372  6 Pt 2.79-2.80
Pt  0.6875  0.6875  0.9376  6 Pt 2.77
Pt  0.4374  0.9398  0.1855  6 Pt 2.77-2.79
Pt  0.9373  0.4356  0.6898  6 Pt 2.77-2.80

Summary:
For the total energy, the calculation gives -6.447 eV/atom. The density comes out at 14.1 g/cm³. The calculation puts the formation energy at -1.05 eV/atom.

=====

Entry 7:
PmTmSnHg: optimized geometry, PBE.

Lattice parameters (Å, degrees): 5.3189 5.3189 5.3189 60.00 60.00 60.00
With the nearest neighbours (Å) after each atom.
Sites, in units of the cell vectors:
Tm  0.2500  0.2500  0.2500  4 Hg 3.26, 4 Sn 3.26
Hg  0.5000  0.5000  0.5000  4 Tm 3.26, 4 Pm 3.26
Sn  0.0000  0.0000  0.0000  4 Tm 3.26, 4 Pm 3.26
Pm  0.7500  0.7500  0.7500  4 Hg 3.26, 4 Sn 3.26

Summary:
For the total energy, the calculation gives -3.936 eV/atom. The density comes out at 9.9 g/cm³. The calculation puts the energy above the most stable polymorph in this dataset at 14 meV per atom. The calculation puts the formation energy at -0.55 eV/atom.

=====

Entry 8:
LiLaEu2: optimized geometry, PBE.

Lattice parameters (Å, degrees): 3.8947 3.8947 9.3814 90.00 90.00 90.00
With the nearest neighbours (Å) after each atom.
Sites, in units of the cell vectors:
Eu  0.0000  0.0000  0.7808  4 Li 3.44, 4 La 3.81
Eu  0.0000  0.0000  0.2192  4 Li 3.44, 4 La 3.81
Li  0.5000  0.5000  0.0000  8 Eu 3.44
La  0.5000  0.5000  0.5000  8 Eu 3.81, 4 La 3.89

Summary:
For the total energy, the calculation gives -6.772 eV/atom. The density comes out at 5.2 g/cm³. The calculation puts the energy above the most stable polymorph in this dataset at 0 meV per atom. The calculation puts the formation energy at 0.08 eV/atom.

=====

Entry 9:
In2AgW: optimized geometry, PBE.

Lattice parameters (Å, degrees): 5.5778 5.5778 5.5778 137.80 137.80 61.20
With the nearest neighbours (Å) after each atom.
Sites, in units of the cell vectors:
Ag  0.7500  0.2500  0.5000  8 In 2.84-3.13, 4 W 3.13
W  0.5000  0.5000  0.0000  8 In 2.84-3.13, 4 Ag 3.13
In  0.0000  0.0000  0.0000  4 W 2.84, 4 Ag 3.13, 4 In 3.13
In  0.2500  0.7500  0.5000  4 Ag 2.84, 4 In 3.13, 4 W 3.13

Summary:
For the total energy, the calculation gives -4.740 eV/atom. The density comes out at 11.2 g/cm³. The calculation puts the energy above the most stable polymorph in this dataset at 175 meV per atom. The calculation puts the formation energy at 0.58 eV/atom.

=====

Entry 10:
Li2Pr3Ga3: optimized geometry, PBE.

Lattice parameters (Å, degrees): 4.7425 5.6531 15.6141 90.00 90.00 114.80
With the nearest neighbours (Å) after each atom.
Sites, in units of the cell vectors:
Li  0.7955  0.5911  0.9127  4 Ga 2.68-2.86
Li  0.2045  0.4089  0.4127  4 Ga 2.68-2.86
Li  0.7955  0.5911  0.5873  4 Ga 2.68-2.86
Li  0.2045  0.4089  0.0873  4 Ga 2.68-2.86
Pr  0.8926  0.7851  0.3898  4 Li 3.08-3.24, 7 Ga 3.16-3.38
Pr  0.1074  0.2149  0.8898  4 Li 3.08-3.24, 7 Ga 3.16-3.38
Pr  0.8926  0.7851  0.1102  4 Li 3.08-3.24, 7 Ga 3.16-3.38
Pr  0.1074  0.2149  0.6102  4 Li 3.08-3.24, 7 Ga 3.16-3.38
Pr  0.6041  0.2081  0.2500  5 Ga 3.06-3.21
Pr  0.3959  0.7919  0.7500  5 Ga 3.06-3.21
Ga  0.6019  0.2038  0.4558  1 Ga 2.51, 2 Li 2.68
Ga  0.3981  0.7962  0.9558  1 Ga 2.51, 2 Li 2.68
Ga  0.6019  0.2038  0.0442  1 Ga 2.51, 2 Li 2.68
Ga  0.3981  0.7962  0.5442  1 Ga 2.51, 2 Li 2.68
Ga  0.3058  0.6116  0.2500  2 Li 2.74, 1 Pr 3.06
Ga  0.6942  0.3884  0.7500  2 Li 2.74, 1 Pr 3.06

Summary:
For the total energy, the calculation gives -3.828 eV/atom. The density comes out at 5.6 g/cm³. The calculation puts the formation energy at -0.42 eV/atom.

=====

Entry 11:
UNbTe: optimized geometry, PBE.

Lattice parameters (Å, degrees): 3.7039 4.6809 8.7645 119.79 102.20 90.00
With the nearest neighbours (Å) after each atom.
Sites, in units of the cell vectors:
U  0.7331  0.6547  0.4663  2 U 2.59
U  0.2669  0.3453  0.5337  2 U 2.59
Nb  0.0687  0.3771  0.1374  6 Te 2.96-3.03, 2 U 3.06, 2 Nb 3.09-3.10
Nb  0.9313  0.6229  0.8626  6 Te 2.96-3.03, 2 U 3.06, 2 Nb 3.09-3.10
Te  0.5878  0.9048  0.1757  6 Nb 2.96-3.03, 4 U 3.10-3.26
Te  0.4122  0.0952  0.8243  6 Nb 2.96-3.03, 4 U 3.10-3.26

Summary:
For the total energy, the calculation gives -8.206 eV/atom. The density comes out at 11.9 g/cm³. For the formation energy from raw total energies, the calculation gives -0.04 eV/atom.